Version one
The following is a PBE+U calculation of Mo2SO after structural relaxation, from the Alexandria database.

Computed properties:
V: 13.10 Å³ per atom
N(E_F): 0.97 states/eV/cell
Crystal system: cubic

a b c (Å): 4.2006 4.2006 4.2006
angles (deg): 60.00 60.00 60.00
With the nearest neighbours (Å) after each atom.
Positions (direct):
Mo (0.2500, 0.2500, 0.2500)  4 S 2.57, 4 O 2.57
Mo (0.7500, 0.7500, 0.7500)  4 O 2.57, 4 S 2.57
S (0.5000, 0.5000, 0.5000)  8 Mo 2.57
O (0.0000, 0.0000, 0.0000)  8 Mo 2.57



Version two
The following is a PBE+U calculation of Mo2SO after structural relaxation, from the Alexandria database.

Computed properties:
V: 18.28 Å³ per atom
N(E_F): 0.01 states/eV/cell
Crystal system: tetragonal

a b c (Å): 6.4195 6.4195 5.7624
angles (deg): 56.15 56.15 90.00
With the nearest neighbours (Å) after each atom.
Positions (direct):
Mo (0.5847, 0.1250, 0.2500)  2 O 2.27
Mo (0.1653, 0.6250, 0.2500)  2 O 2.27
Mo (0.3750, 0.4153, 0.7500)  2 O 2.27
Mo (0.8750, 0.8347, 0.7500)  2 O 2.27
S (0.0000, 0.0000, 0.0000)  4 Mo 2.61
S (0.7500, 0.2500, 0.5000)  4 Mo 2.61
O (0.5000, 0.5000, 0.0000)  4 Mo 2.27
O (0.2500, 0.7500, 0.5000)  4 Mo 2.27



Least stable of them? version one.